Density functional theory data (PBE+U) for a relaxed structure of PmCrTe2O8.

Cell: 7.299 7.299 6.888 Å, 90.00 90.00 90.00°
Space group I-4m2 (No. 119)
Inequivalent atoms, fractional coordinates:
Pm 0.000 0.000 0.000 x2
Cr 0.000 0.500 0.250 x2
Te 0.000 0.000 0.500 x2
Te 0.000 0.500 0.750 x2
O 0.000 0.195 0.308 x8
O 0.000 0.312 0.930 x8

Results
Total moment ... 8.752 μB/cell
Crystal system ... tetragonal
Electronic total energy ... -0.461 Ry/atom